Pa3AsBr PBE optimized geometry; density = 9820 kg/m³; E = -31.68 eV per cell
1.0
5.234 0.000 0.000
0.000 5.234 0.000
0.000 0.000 5.234
Pa As Br
3 1 1
direct
0.000 0.000 0.500
0.000 0.500 0.000
0.500 0.000 0.000
0.500 0.500 0.500
0.000 0.000 0.000